(1)
Material: GaAgTe2N
Method: DFT, GGA-PBE
State: relaxed

a b c (Å): 5.9057 5.9057 3.4388
angles (deg): 90.00 90.00 90.00
Last column: nearest neighbours and their distance in Å.
Space group P4/mmm (No. 123)
Unique sites:
Ga (0.0000, 0.0000, 0.0000)  2 N 1.72
Ag (0.5000, 0.5000, 0.5000)  8 Te 3.42, 2 Ag 3.44
Te (0.0000, 0.5000, 0.0000)  2 Ga 2.95
N (0.0000, 0.0000, 0.5000)  2 Ga 1.72

Calculated values
energy above the most stable polymorph in this dataset: 0.000 eV per atom
calculated density: 6.19 g cm⁻³
magnetic moment: 0.00 μB per atom
energy: -3.4757 eV per atom
energy relative to the elements, uncorrected: 0.62 eV/atom

(2)
Material: Tm2HfGa3Pt4
Method: DFT, GGA-PBE
State: relaxed

a b c (Å): 4.0829 4.0829 11.4295
angles (deg): 90.00 90.00 90.00
Last column: nearest neighbours and their distance in Å.
Space group P-4m2 (No. 115)
Unique sites:
Tm (0.0000, 0.5000, 0.2346)  4 Ga 3.11, 8 Pt 3.16-3.37
Hf (0.0000, 0.0000, 0.5000)  4 Pt 2.68, 4 Ga 2.89
Ga (0.0000, 0.5000, 0.8677)  5 Pt 2.46-2.54
Ga (0.5000, 0.5000, 0.5000)  4 Pt 2.68, 4 Hf 2.89
Pt (0.0000, 0.0000, 0.0000)  4 Ga 2.54
Pt (0.0000, 0.5000, 0.6521)  3 Ga 2.46-2.68, 2 Hf 2.68
Pt (0.5000, 0.5000, 0.0000)  4 Ga 2.54

Calculated values
calculated density: 13.12 g cm⁻³
magnetic moment: 0.00 μB per atom
energy: -6.1709 eV per atom
energy of formation: -0.96 eV/atom

(3)
Material: KTaIr2
Method: DFT, GGA-PBE
State: relaxed

a b c (Å): 3.1387 3.1022 8.3713
angles (deg): 90.00 90.15 90.00
Last column: nearest neighbours and their distance in Å.
Space group P2/m (No. 10)
Unique sites:
K (0.0000, 0.0000, 0.0000)  4 K 3.10-3.14, 8 Ir 3.45-3.46
Ta (0.0000, 0.0000, 0.5000)  8 Ir 2.69
Ir (0.4989, 0.5000, 0.3170)  4 Ta 2.69

Calculated values
energy above the most stable polymorph in this dataset: 0.000 eV per atom
calculated density: 12.31 g cm⁻³
magnetic moment: 0.00 μB per atom
energy: -7.7036 eV per atom
energy of formation: -0.04 eV/atom

(4)
Material: Na2SrCrH
Method: DFT, GGA-PBE
State: relaxed

a b c (Å): 5.6924 5.6924 4.0671
angles (deg): 90.00 90.00 90.00
Last column: nearest neighbours and their distance in Å.
Space group P4/mmm (No. 123)
Unique sites:
Na (0.0000, 0.5000, 0.0000)  2 H 2.85
Sr (0.0000, 0.0000, 0.5000)  8 Na 3.50
Cr (0.5000, 0.5000, 0.5000)  2 H 2.03
H (0.5000, 0.5000, 0.0000)  2 Cr 2.03

Calculated values
calculated density: 2.35 g cm⁻³
magnetic moment: 0.87 μB per atom
energy: -2.9849 eV per atom

(5)
Material: Rb2TmPtO6
Method: DFT, GGA-PBE
State: relaxed

a b c (Å): 8.3913 8.3913 8.3913
angles (deg): 90.00 90.00 90.00
Last column: nearest neighbours and their distance in Å.
Space group Fm-3m (No. 225)
Unique sites:
Rb (0.2500, 0.2500, 0.2500)  12 O 2.97
Tm (0.0000, 0.0000, 0.0000)  6 O 2.23
Pt (0.0000, 0.0000, 0.5000)  6 O 1.97
O (0.0000, 0.0000, 0.2653)  1 Pt 1.97

Calculated values
calculated density: 7.09 g cm⁻³
magnetic moment: 0.27 μB per atom
energy: -5.6653 eV per atom
energy relative to the elements, uncorrected: -1.45 eV/atom

(6)
Material: LaFe2Te
Method: DFT, GGA-PBE
State: relaxed

a b c (Å): 4.2511 5.0508 7.7172
angles (deg): 90.00 90.00 90.00
Last column: nearest neighbours and their distance in Å.
Space group Amm2 (No. 38)
Unique sites:
La (0.0000, 0.0000, 0.0000)  2 Fe 2.54
Fe (0.0000, 0.0000, 0.5286)  2 Fe 2.42, 2 La 2.54, 2 Te 2.61
Fe (0.5000, 0.0000, 0.6782)  2 Fe 2.42, 1 Te 2.67
Te (0.5000, 0.0000, 0.3327)  5 Fe 2.61-2.79

Calculated values
calculated density: 7.58 g cm⁻³
magnetic moment: 0.93 μB per atom
energy: -6.3557 eV per atom
energy relative to the elements, uncorrected: -0.11 eV/atom

(7)
Material: ZnHg3Cl
Method: DFT, GGA-PBE
State: relaxed

a b c (Å): 6.0163 6.0163 6.0163
angles (deg): 90.00 90.00 90.00
Last column: nearest neighbours and their distance in Å.
Space group Pm-3m (No. 221)
Unique sites:
Zn (0.0000, 0.0000, 0.0000)  12 Hg 4.25
Hg (0.0000, 0.5000, 0.5000)  2 Cl 3.01
Cl (0.5000, 0.5000, 0.5000)  6 Hg 3.01

Calculated values
energy above the most stable polymorph in this dataset: 0.411 eV per atom
calculated density: 5.36 g cm⁻³
magnetic moment: 0.00 μB per atom
energy: -0.5090 eV per atom
energy relative to the elements, uncorrected: 0.30 eV/atom

(8)
Material: Y2BeNi
Method: DFT, GGA-PBE
State: relaxed

a b c (Å): 4.7954 4.7954 3.4314
angles (deg): 90.00 90.00 90.00
Last column: nearest neighbours and their distance in Å.
Space group P4/mmm (No. 123)
Unique sites:
Y (0.0000, 0.5000, 0.0000)  4 Ni 2.95, 4 Be 2.95
Be (0.0000, 0.0000, 0.5000)  8 Y 2.95
Ni (0.5000, 0.5000, 0.5000)  8 Y 2.95

Calculated values
calculated density: 5.17 g cm⁻³
magnetic moment: 0.00 μB per atom
energy: -5.7494 eV per atom
energy of formation: -0.14 eV/atom

Number 1: density of states at the Fermi level 3.4 states/eV/f.u.. Number 2: density of states at the Fermi level 6.6 states/eV/f.u.. Number 3: density of states at the Fermi level 2.6 states/eV/f.u.. Number 4: density of states at the Fermi level 3.4 states/eV/f.u.. Number 5: density of states at the Fermi level 8.5 states/eV/f.u.. Number 6: density of states at the Fermi level 3.7 states/eV/f.u.. Number 7: density of states at the Fermi level 8.2 states/eV/f.u.. Number 8: density of states at the Fermi level 2.4 states/eV/f.u..